(1)
Entry from Alexandria via LeMat-Bulk: crystalline LiPuZnHg at its relaxed geometry (PBE).

CIF file:
```
data_LiPuZnHg
_symmetry_space_group_name_H-M 'F -4 3 m'
_symmetry_Int_Tables_number 216
_symmetry_space_group_name_Hall 'F -4 2 3'
_cell_length_a 7.0794
_cell_length_b 7.0794
_cell_length_c 7.0794
_cell_angle_alpha 90.00
_cell_angle_beta 90.00
_cell_angle_gamma 90.00
loop_
_atom_site_label
_atom_site_type_symbol
_atom_site_fract_x
_atom_site_fract_y
_atom_site_fract_z
Li1 Li 0.0000 0.0000 0.0000
Pu1 Pu 0.0000 0.0000 0.5000
Zn1 Zn 0.2500 0.2500 0.7500
Hg1 Hg 0.2500 0.2500 0.2500
```

Summary:
density of states at the Fermi level	3.2234	states/eV/atom
DFT formation energy	-0.06	eV per atom



(2)
Entry from Alexandria via LeMat-Bulk: crystalline HoTaNi2 at its relaxed geometry (PBE).

CIF file:
```
data_HoTaNi2
_symmetry_space_group_name_H-M 'P 4/m m m'
_symmetry_Int_Tables_number 123
_symmetry_space_group_name_Hall '-P 4 2'
_cell_length_a 3.1795
_cell_length_b 3.1795
_cell_length_c 6.6705
_cell_angle_alpha 90.00
_cell_angle_beta 90.00
_cell_angle_gamma 90.00
loop_
_atom_site_label
_atom_site_type_symbol
_atom_site_fract_x
_atom_site_fract_y
_atom_site_fract_z
Ho1 Ho 0.0000 0.0000 0.0000
Ta1 Ta 0.0000 0.0000 0.5000
Ni1 Ni 0.5000 0.5000 0.3025
```

Summary:
density of states at the Fermi level	0.8415	states/eV/atom
DFT formation energy	-0.25	eV per atom



(3)
Entry from Alexandria via LeMat-Bulk: crystalline La4Sm3ScS8 at its relaxed geometry (PBE).

CIF file:
```
data_La4Sm3ScS8
_symmetry_space_group_name_H-M 'R -3 m'
_symmetry_Int_Tables_number 166
_symmetry_space_group_name_Hall '-R 3 2"'
_cell_length_a 8.0781
_cell_length_b 8.0781
_cell_length_c 19.9105
_cell_angle_alpha 90.00
_cell_angle_beta 90.00
_cell_angle_gamma 120.00
loop_
_atom_site_label
_atom_site_type_symbol
_atom_site_fract_x
_atom_site_fract_y
_atom_site_fract_z
La1 La 0.0000 0.0000 0.0000
La2 La 0.0000 0.5000 0.0000
Sm1 Sm 0.0000 0.5000 0.5000
Sc1 Sc 0.0000 0.0000 0.5000
S1 S 0.0000 0.0000 0.2464
S2 S 0.0124 0.5062 0.2436
```

Summary:
density of states at the Fermi level	0.5486	states/eV/atom
E_form (uncorrected)	-2057.6	meV/atom



(4)
Entry from Alexandria via LeMat-Bulk: crystalline CdGa2Se4 at its relaxed geometry (PBE).

CIF file:
```
data_CdGa2Se4
_symmetry_space_group_name_H-M 'I -4'
_symmetry_Int_Tables_number 82
_symmetry_space_group_name_Hall 'I -4'
_cell_length_a 5.8614
_cell_length_b 5.8614
_cell_length_c 10.9676
_cell_angle_alpha 90.00
_cell_angle_beta 90.00
_cell_angle_gamma 90.00
loop_
_atom_site_label
_atom_site_type_symbol
_atom_site_fract_x
_atom_site_fract_y
_atom_site_fract_z
Cd1 Cd 0.0000 0.0000 0.0000
Ga1 Ga 0.0000 0.0000 0.5000
Ga2 Ga 0.0000 0.5000 0.7500
Se1 Se 0.2265 0.7611 0.3617
```

Summary:
density of states at the Fermi level	0.0000	states/eV/atom
E_form (uncorrected)	-627.1	meV/atom



(5)
Entry from Alexandria via LeMat-Bulk: crystalline ZrBePb2 at its relaxed geometry (PBE).

CIF file:
```
data_ZrBePb2
_symmetry_space_group_name_H-M 'C m m m'
_symmetry_Int_Tables_number 65
_symmetry_space_group_name_Hall '-C 2 2'
_cell_length_a 3.9608
_cell_length_b 5.3291
_cell_length_c 8.5822
_cell_angle_alpha 90.00
_cell_angle_beta 90.00
_cell_angle_gamma 90.00
loop_
_atom_site_label
_atom_site_type_symbol
_atom_site_fract_x
_atom_site_fract_y
_atom_site_fract_z
Zr1 Zr 0.0000 0.0000 0.0000
Be1 Be 0.0000 0.0000 0.5000
Pb1 Pb 0.0000 0.5000 0.2811
```

Summary:
density of states at the Fermi level	0.5305	states/eV/atom
DFT formation energy	0.40	eV per atom



(6)
Entry from Alexandria via LeMat-Bulk: crystalline NpAlInO6 at its relaxed geometry (PBE).

CIF file:
```
data_NpAlInO6
_symmetry_space_group_name_H-M 'P -3 1 c'
_symmetry_Int_Tables_number 163
_symmetry_space_group_name_Hall '-P 3 2c'
_cell_length_a 5.2311
_cell_length_b 5.2311
_cell_length_c 9.3029
_cell_angle_alpha 90.00
_cell_angle_beta 90.00
_cell_angle_gamma 120.00
loop_
_atom_site_label
_atom_site_type_symbol
_atom_site_fract_x
_atom_site_fract_y
_atom_site_fract_z
Np1 Np 0.3333 0.6667 0.2500
Al1 Al 0.3333 0.6667 0.7500
In1 In 0.0000 0.0000 0.0000
O1 O 0.0202 0.3597 0.6359
```

Summary:
density of states at the Fermi level	0.1931	states/eV/atom
E_form (uncorrected)	-2409.5	meV/atom